[1]
# RbSb2Se2 (PBE, relaxed)
data_RbSb2Se2
_chemical_formula_sum 'Rb1 Sb2 Se2'
_cell_length_a 8.081
_cell_length_b 8.081
_cell_length_c 8.081
_cell_angle_alpha 147.46
_cell_angle_beta 147.46
_cell_angle_gamma 46.68
_symmetry_space_group_name_H-M 'P 1'
_symmetry_Int_Tables_number 1
loop_
_symmetry_equiv_pos_as_xyz
'x,y,z'
loop_
_atom_site_label
_atom_site_type_symbol
_atom_site_fract_x
_atom_site_fract_y
_atom_site_fract_z
Rb1 Rb 0.000 0.000 0.000
Sb1 Sb 0.250 0.750 0.500
Sb2 Sb 0.750 0.250 0.500
Se1 Se 0.415 0.415 0.000
Se2 Se 0.585 0.585 0.000
# N(E_F) (states/eV/f.u.): 2.54
# Excess energy over the best structure of this formula in the dataset (eV/atom): 0.070

[2]
# RbSb4Se8 (PBE, relaxed)
data_RbSb4Se8
_chemical_formula_sum 'Rb1 Sb4 Se8'
_cell_length_a 10.016
_cell_length_b 10.016
_cell_length_c 10.016
_cell_angle_alpha 46.11
_cell_angle_beta 46.11
_cell_angle_gamma 46.11
_symmetry_space_group_name_H-M 'P 1'
_symmetry_Int_Tables_number 1
loop_
_symmetry_equiv_pos_as_xyz
'x,y,z'
loop_
_atom_site_label
_atom_site_type_symbol
_atom_site_fract_x
_atom_site_fract_y
_atom_site_fract_z
Rb1 Rb 0.000 0.000 0.000
Sb1 Sb 0.000 0.000 0.500
Sb2 Sb 0.000 0.500 0.000
Sb3 Sb 0.500 0.000 0.000
Sb4 Sb 0.500 0.500 0.500
Se1 Se 0.229 0.229 0.229
Se2 Se 0.229 0.730 0.730
Se3 Se 0.270 0.270 0.771
Se4 Se 0.270 0.771 0.270
Se5 Se 0.730 0.229 0.730
Se6 Se 0.730 0.730 0.229
Se7 Se 0.771 0.270 0.270
Se8 Se 0.771 0.771 0.771
# N(E_F) (states/eV/f.u.): 7.06
# Total energy (eV per atom): -3.83

[3]
# RbSb2Se2 (PBE, relaxed)
data_RbSb2Se2
_chemical_formula_sum 'Rb2 Sb4 Se4'
_cell_length_a 9.431
_cell_length_b 9.431
_cell_length_c 3.865
_cell_angle_alpha 90.00
_cell_angle_beta 90.00
_cell_angle_gamma 90.00
_symmetry_space_group_name_H-M 'P 1'
_symmetry_Int_Tables_number 1
loop_
_symmetry_equiv_pos_as_xyz
'x,y,z'
loop_
_atom_site_label
_atom_site_type_symbol
_atom_site_fract_x
_atom_site_fract_y
_atom_site_fract_z
Rb1 Rb 0.000 0.000 0.000
Rb2 Rb 0.500 0.500 0.000
Sb1 Sb 0.184 0.316 0.500
Sb2 Sb 0.316 0.816 0.500
Sb3 Sb 0.684 0.184 0.500
Sb4 Sb 0.816 0.684 0.500
Se1 Se 0.179 0.679 0.000
Se2 Se 0.321 0.179 0.000
Se3 Se 0.679 0.821 0.000
Se4 Se 0.821 0.321 0.000
# N(E_F) (states/eV/f.u.): 1.32
# Excess energy over the best structure of this formula in the dataset (eV/atom): 0.044

[4]
# RbSb2Se3 (PBE, relaxed)
data_RbSb2Se3
_chemical_formula_sum 'Rb2 Sb4 Se6'
_cell_length_a 7.800
_cell_length_b 7.800
_cell_length_c 8.354
_cell_angle_alpha 105.47
_cell_angle_beta 105.47
_cell_angle_gamma 50.09
_symmetry_space_group_name_H-M 'P 1'
_symmetry_Int_Tables_number 1
loop_
_symmetry_equiv_pos_as_xyz
'x,y,z'
loop_
_atom_site_label
_atom_site_type_symbol
_atom_site_fract_x
_atom_site_fract_y
_atom_site_fract_z
Rb1 Rb 0.020 0.980 0.750
Rb2 Rb 0.980 0.020 0.250
Sb1 Sb 0.324 0.351 0.931
Sb2 Sb 0.351 0.324 0.431
Sb3 Sb 0.649 0.676 0.569
Sb4 Sb 0.676 0.649 0.069
Se1 Se 0.150 0.246 0.103
Se2 Se 0.246 0.150 0.603
Se3 Se 0.480 0.520 0.250
Se4 Se 0.520 0.480 0.750
Se5 Se 0.754 0.850 0.397
Se6 Se 0.850 0.754 0.897
# N(E_F) (states/eV/f.u.): 1.47
# Excess energy over the best structure of this formula in the dataset (eV/atom): 0.000